First-principles (GGA-PBEsol) data for crystalline TiInPd2 at its relaxed geometry, as listed in Alexandria via LeMat-Bulk.

Unit cell a=3.2268 b=3.2268 c=6.2590 alpha=90.00 beta=90.00 gamma=90.00
With the nearest neighbours (Å) after each atom.
Space group P4/mmm (No. 123)
Inequivalent atoms, fractional coordinates:
Ti1 0.0000 0.0000 0.0000 (multiplicity 1)  8 Pd 2.67
In1 0.0000 0.0000 0.5000 (multiplicity 1)  8 Pd 2.87, 2 Ti 3.13
Pd1 0.5000 0.5000 0.2210 (multiplicity 2)  4 Ti 2.67, 1 Pd 2.77, 4 In 2.87

Calculated values
Total magnetic moment in μB/f.u.: 0.00
E_form in meV/atom: -573

=====

First-principles (GGA-PBEsol) data for crystalline ZrAs2Ru at its relaxed geometry, as listed in Alexandria via LeMat-Bulk.

Unit cell a=3.5109 b=3.5503 c=10.8662 alpha=90.00 beta=90.00 gamma=90.00
With the nearest neighbours (Å) after each atom.
Space group Imm2 (No. 44)
Inequivalent atoms, fractional coordinates:
Zr1 0.0000 0.0000 0.0000 (multiplicity 2)  6 As 2.67-2.69
As1 0.0000 0.0000 0.4132 (multiplicity 2)  2 Ru 2.47, 4 Zr 2.67
As2 0.0000 0.5000 0.1859 (multiplicity 2)  4 Ru 2.60, 2 Zr 2.69
Ru1 0.0000 0.5000 0.7530 (multiplicity 2)  6 As 2.47-2.60

Calculated values
Total magnetic moment in μB/f.u.: 0.00
E_form in meV/atom: -643

=====

First-principles (GGA-PBEsol) data for crystalline LaZrSi3 at its relaxed geometry, as listed in Alexandria via LeMat-Bulk.

Unit cell a=5.0850 b=5.0850 c=5.0850 alpha=90.00 beta=90.00 gamma=90.00
With the nearest neighbours (Å) after each atom.
Space group Pm-3m (No. 221)
Inequivalent atoms, fractional coordinates:
La1 0.0000 0.0000 0.0000 (multiplicity 1)  6 Si 2.54
Zr1 0.5000 0.5000 0.5000 (multiplicity 1)  12 Si 3.60
Si1 0.0000 0.0000 0.5000 (multiplicity 3)  2 La 2.54

Calculated values
VASP energy in eV/f.u.: -25.01
Total magnetic moment in μB/f.u.: 0.00

=====

First-principles (GGA-PBEsol) data for crystalline TlTc2Pt at its relaxed geometry, as listed in Alexandria via LeMat-Bulk.

Unit cell a=3.8073 b=4.1780 c=7.9777 alpha=90.00 beta=90.00 gamma=90.00
With the nearest neighbours (Å) after each atom.
Space group Imm2 (No. 44)
Inequivalent atoms, fractional coordinates:
Tl1 0.0000 0.0000 0.0000 (multiplicity 2)  4 Pt 2.80-2.85, 8 Tc 2.81-2.83
Tc1 0.0000 0.0000 0.4795 (multiplicity 2)  2 Tc 2.59, 4 Pt 2.82-2.83, 4 Tl 2.83
Tc2 0.0000 0.5000 0.7599 (multiplicity 2)  2 Tc 2.59, 4 Tl 2.81-2.83, 4 Pt 2.83
Pt1 0.0000 0.5000 0.2425 (multiplicity 2)  4 Tl 2.80-2.85, 8 Tc 2.82-2.83

Calculated values
Total magnetic moment in μB/f.u.: 0.00
E_form in meV/atom: 371

=====

First-principles (GGA-PBEsol) data for crystalline Na5Li3Ti2S8 at its relaxed geometry, as listed in Alexandria via LeMat-Bulk.

Unit cell a=17.4359 b=9.6134 c=11.9948 alpha=90.00 beta=133.41 gamma=90.00
With the nearest neighbours (Å) after each atom.
Space group C2/c (No. 15)
Inequivalent atoms, fractional coordinates:
Na1 0.0000 0.0078 0.2500 (multiplicity 4)  6 S 2.75-2.95
Na2 0.0987 0.4875 0.4649 (multiplicity 8)  5 S 2.77-2.98
Na3 0.1481 0.2464 0.7774 (multiplicity 8)  5 S 2.80-3.04
Li1 0.1920 0.0005 0.6252 (multiplicity 8)  4 S 2.39-2.47
Li2 0.2500 0.2500 0.5000 (multiplicity 4)  2 S 2.49
Ti1 0.0838 0.2349 0.1354 (multiplicity 8)  4 S 2.24-2.27
S1 0.0870 0.2042 0.4942 (multiplicity 8)  1 Ti 2.24, 1 Li 2.39
S2 0.1133 0.2192 0.9784 (multiplicity 8)  1 Ti 2.27, 1 Li 2.47
S3 0.1296 0.4454 0.2516 (multiplicity 8)  1 Ti 2.27, 1 Li 2.41
S4 0.1797 0.0619 0.3080 (multiplicity 8)  1 Ti 2.26, 2 Li 2.42-2.49

Calculated values
VASP energy in eV/f.u.: -87.89
Total magnetic moment in μB/f.u.: 0.00

=====

First-principles (GGA-PBEsol) data for crystalline MnSiPt4 at its relaxed geometry, as listed in Alexandria via LeMat-Bulk.

Unit cell a=7.3311 b=7.3311 c=7.3311 alpha=90.00 beta=90.00 gamma=90.00
With the nearest neighbours (Å) after each atom.
Space group F-43m (No. 216)
Inequivalent atoms, fractional coordinates:
Mn1 0.0000 0.0000 0.0000 (multiplicity 4)  12 Pt 3.04, 4 Si 3.17
Si1 0.2500 0.2500 0.7500 (multiplicity 4)  12 Pt 3.04, 4 Mn 3.17
Pt1 0.1251 0.1251 0.3749 (multiplicity 16)  6 Pt 2.59

Calculated values
VASP energy in eV/f.u.: -42.37
Total magnetic moment in μB/f.u.: 4.53